VASP calculation (PBE) on an optimized crystal structure of KCu3.

Cell: 2.694 5.319 10.271 Å, 90.00 90.00 90.00°
Space group Immm (No. 71)
Symmetry-distinct sites (fractional):
K  0.000  0.000  0.000 x2
Cu  0.000  0.000  0.500 x2
Cu  0.000  0.500  0.203 x4

Results
- energy relative to the elements (kJ/mol of atoms) = 48.0
- magnetization (μB/cell) = 0.000
- DOS(E_F) (states/eV/f.u.) = 1.40